{
  "formula": "Rb2SiBrCl5",
  "functional": "PBE",
  "state": "optimized geometry",
  "final_energy_ev_per_atom": -3.4814,
  "m_tot_mub_per_fu": 0.00,
  "raw_formation_energy_mev_per_atom": -1452,
  "lattice_angstrom": [[7.233, -0.097, -0.140], [-3.519, 6.319, 0.140], [-3.519, -2.119, 5.955]],
  "species": ["Rb", "Rb", "Si", "Br", "Cl", "Cl", "Cl", "Cl", "Cl"],
  "fractional_positions": [[0.500, 0.251, 0.751], [0.500, 0.751, 0.251], [0.000, 0.004, 0.004], [0.000, 0.763, 0.763], [0.437, 0.220, 0.220], [0.563, 0.783, 0.783], [0.000, 0.783, 0.220], [0.000, 0.220, 0.783], [0.000, 0.223, 0.223]]
}


{
  "formula": "Rb2SnBr6Cl",
  "functional": "PBE",
  "state": "optimized geometry",
  "final_energy_ev_per_atom": -2.7422,
  "m_tot_mub_per_fu": 1.00,
  "raw_formation_energy_mev_per_atom": -960,
  "lattice_angstrom": [[8.347, 0.000, 0.000], [0.000, 8.347, 0.000], [4.174, 4.174, 5.463]],
  "species": ["Br", "Br", "Br", "Br", "Br", "Br", "Sn", "Rb", "Rb", "Cl"],
  "fractional_positions": [[0.247, 0.247, 0.506], [0.753, 0.753, 0.494], [0.225, 0.225, 0.000], [0.775, 0.775, 0.000], [0.775, 0.225, 0.000], [0.225, 0.775, 0.000], [0.000, 0.000, 0.000], [0.750, 0.250, 0.500], [0.250, 0.750, 0.500], [0.500, 0.500, 0.000]]
}


{
  "formula": "RbSnBr2Cl",
  "functional": "PBE",
  "state": "optimized geometry",
  "final_energy_ev_per_atom": -3.2868,
  "m_tot_mub_per_fu": 0.00,
  "raw_formation_energy_mev_per_atom": -1254,
  "e_above_lowest_polymorph_ev_per_atom": 0.000,
  "lattice_angstrom": [[-0.011, 8.174, -0.128], [-7.900, -0.044, -2.102], [2.492, -3.981, 6.614]],
  "species": ["Rb", "Rb", "Sn", "Sn", "Br", "Br", "Br", "Br", "Cl", "Cl"],
  "fractional_positions": [[0.751, 0.251, 0.503], [0.251, 0.751, 0.503], [0.006, 0.006, 0.013], [0.506, 0.506, 0.013], [0.314, 0.814, 0.004], [0.814, 0.690, 0.004], [0.690, 0.190, 0.004], [0.190, 0.314, 0.004], [0.739, 0.739, 0.477], [0.239, 0.239, 0.477]]
}


{
  "formula": "RbSnBr2Cl",
  "functional": "PBE",
  "state": "optimized geometry",
  "final_energy_ev_per_atom": -3.2714,
  "m_tot_mub_per_fu": 0.00,
  "raw_formation_energy_mev_per_atom": -1239,
  "e_above_lowest_polymorph_ev_per_atom": 0.015,
  "lattice_angstrom": [[-5.133, 2.588, 1.254], [-2.247, -2.008, -5.053], [-1.698, -4.623, 2.592]],
  "species": ["Br", "Br", "Sn", "Rb", "Cl"],
  "fractional_positions": [[0.000, 0.500, 0.000], [0.500, 0.000, 0.000], [0.000, 0.000, 0.000], [0.500, 0.500, 0.500], [0.000, 0.000, 0.500]]
}


{
  "formula": "Rb2SnBrCl6",
  "functional": "PBE",
  "state": "optimized geometry",
  "final_energy_ev_per_atom": -3.0383,
  "m_tot_mub_per_fu": 1.00,
  "raw_formation_energy_mev_per_atom": -1169,
  "e_above_lowest_polymorph_ev_per_atom": 0.045,
  "lattice_angstrom": [[8.162, 0.000, 0.000], [0.000, 8.162, 0.000], [4.081, 4.081, 5.337]],
  "species": ["Br", "Sn", "Rb", "Rb", "Cl", "Cl", "Cl", "Cl", "Cl", "Cl"],
  "fractional_positions": [[0.500, 0.500, 0.000], [0.000, 0.000, 0.000], [0.750, 0.250, 0.500], [0.250, 0.750, 0.500], [0.236, 0.236, 0.529], [0.764, 0.764, 0.471], [0.214, 0.214, 0.000], [0.786, 0.786, 0.000], [0.786, 0.214, 0.000], [0.214, 0.786, 0.000]]
}


{
  "formula": "Rb2SnBrCl",
  "functional": "PBE",
  "state": "optimized geometry",
  "final_energy_ev_per_atom": -2.6152,
  "m_tot_mub_per_fu": 1.93,
  "raw_formation_energy_mev_per_atom": -724,
  "lattice_angstrom": [[-1.178, -6.928, 1.343], [5.316, -0.755, 0.770], [-0.797, 1.483, 6.953]],
  "species": ["Br", "Sn", "Rb", "Rb", "Cl"],
  "fractional_positions": [[0.500, 0.500, 0.500], [0.000, 0.000, 0.000], [0.000, 0.000, 0.500], [0.500, 0.000, 0.000], [0.000, 0.500, 0.000]]
}